Record 1
Below is an optimized crystal structure of ThNp2TcC4, with properties calculated at the PBE level. Values from VASP.

```
&SYSTEM
  ibrav = 0, nat = 16, ntyp = 4
/
ATOMIC_SPECIES
C 12.01 C.upf
Np 237.00 Np.upf
Th 232.04 Th.upf
Tc 98.00 Tc.upf
ATOMIC_POSITIONS angstrom
C 2.419 -8.038 5.663
C -0.285 -6.687 4.200
C -1.210 -2.968 1.316
C -0.756 -8.361 6.707
C 1.494 -4.319 2.779
C -0.895 -3.178 4.760
C 0.000 0.000 0.000
C 1.965 -2.646 0.272
Np 2.165 -6.193 3.953
Np -0.220 -2.204 -0.883
Np -0.955 -4.814 3.026
Np 1.429 -8.802 7.862
Th -0.393 -5.593 6.767
Th 1.603 -5.414 0.212
Tc 0.417 -8.339 5.086
Tc 0.792 -2.667 1.893
CELL_PARAMETERS angstrom
-2.419 -1.980 -1.777
5.419 -2.671 -0.764
-1.791 -6.356 9.520
```

Summary:
ΔE_f in eV per atom: 0.06
Magnetization in μB/f.u.: 4.47
Space-group type: Cmcm
V in Å³/atom: 15.150

Record 2
Below is an optimized crystal structure of CeTl3I6, with properties calculated at the PBE level. Values from VASP.

```
&SYSTEM
  ibrav = 0, nat = 20, ntyp = 3
/
ATOMIC_SPECIES
I 126.90 I.upf
Tl 204.38 Tl.upf
Ce 140.12 Ce.upf
ATOMIC_POSITIONS angstrom
I -10.375 -3.529 -0.494
I -11.786 -2.732 -5.602
I -8.763 -7.446 -1.905
I -7.291 -5.623 1.946
I -1.907 -2.425 0.708
I -6.007 -10.001 0.547
I -3.218 -6.639 3.462
I -6.241 -1.925 -0.236
I -4.629 -5.842 -1.647
I -7.713 -3.749 -4.087
I -13.096 -6.946 -2.849
I -8.997 0.630 -2.688
Tl -3.090 -2.804 -2.709
Tl -4.966 -2.980 2.855
Tl -1.756 -5.954 0.401
Tl -11.913 -6.567 0.568
Tl -10.038 -6.391 -4.996
Tl -5.745 1.269 -1.471
Ce -7.502 -4.686 -1.070
Ce 0.000 0.000 0.000
CELL_PARAMETERS angstrom
-0.551 -6.038 -5.701
-2.962 -5.871 6.504
-11.491 2.538 -2.943
```

Summary:
Magnetization in μB/f.u.: 1.00
Space-group type: P2_1/c
Formation energy (no corrections) in eV per formula unit: -9.36
V in Å³/atom: 46.545